DFT (PBE) results for a geometry-optimized LaTm3Hg2 structure.

Summary:
Its energy is -3.4191 eV per atom. As for the formation enthalpy at 0 K: -262 meV/atom. The value obtained for the calculated volume is 172.0 Å³/f.u.

a = 5.328 Å, b = 9.443 Å, c = 8.854 Å
α = 124.70°, β = 90.00°, γ = 106.39°
Sites, in units of the cell vectors:
1 La 0.868 0.737 0.923
2 La 0.132 0.263 0.077
3 Tm 0.305 0.611 0.608
4 Tm 0.935 0.869 0.592
5 Tm 0.617 0.234 0.709
6 Tm 0.383 0.766 0.291
7 Tm 0.065 0.131 0.408
8 Tm 0.695 0.389 0.392
9 Hg 0.505 0.010 0.843
10 Hg 0.495 0.990 0.157
11 Hg 0.776 0.551 0.162
12 Hg 0.224 0.449 0.838